[1]
## PrPaIn (PBE-GGA)

Data for PrPaIn after structural relaxation.

Its calculated volume is 33.54 A^3/atom. The offset from the most stable computed form is 0 meV per atom.

The structure belongs to space group F-43m (No. 216); the cell edges are 7.3835, 7.3835 and 7.3835 Å and the angles 90.00°, 90.00° and 90.00°. Symmetry generates all atoms from Pr at (0.0000, 0.0000, 0.0000), Pa at (0.0000, 0.0000, 0.5000) and In at (0.2500, 0.2500, 0.7500).

[2]
## La2SmSi4Ni2Au2 (PBE-GGA)

Data for La2SmSi4Ni2Au2 after structural relaxation.

Its calculated volume is 19.74 A^3/atom. The total energy comes out at -5.622 eV/atom.

The structure belongs to space group Immm (No. 71); the cell edges are 4.1503, 4.2822 and 24.4391 Å and the angles 90.00°, 90.00° and 90.00°. Symmetry generates all atoms from La at (0.0000, 0.0000, 0.1421), Sm at (0.0000, 0.5000, 0.5000), Si at (0.0000, 0.0000, 0.3140), Si at (0.0000, 0.5000, 0.0489), Ni at (0.0000, 0.0000, 0.4078) and Au at (0.0000, 0.5000, 0.2510).

[3]
## CdAu7 (PBE-GGA)

Data for CdAu7 after structural relaxation.

Its calculated volume is 25.38 A^3/atom. The total energy comes out at -2.955 eV/atom.

The structure belongs to space group P4/nmm (No. 129, origin choice 2); the cell edges are 2.9357, 2.9357 and 47.1140 Å and the angles 90.00°, 90.00° and 90.00°. Symmetry generates all atoms from Cd at (0.2500, 0.2500, 0.1633), Au at (0.2500, 0.2500, 0.2561), Au at (0.2500, 0.2500, 0.3451), Au at (0.2500, 0.2500, 0.4339), Au at (0.2500, 0.2500, 0.5219), Au at (0.2500, 0.2500, 0.6103), Au at (0.2500, 0.2500, 0.6996) and Au at (0.2500, 0.2500, 0.7890).

[4]
## Hf3FeN2 (PBE-GGA)

Data for Hf3FeN2 after structural relaxation.

Its calculated volume is 13.25 A^3/atom. The total energy comes out at -10.277 eV/atom.

The structure belongs to space group P6_3/mmc (No. 194); the cell edges are 3.1628, 3.1628 and 18.3601 Å and the angles 90.00°, 90.00° and 120.00°. Symmetry generates all atoms from Hf at (0.0000, 0.0000, 0.0000), Hf at (0.3333, 0.6667, 0.1472), Fe at (0.0000, 0.0000, 0.2500) and N at (0.3333, 0.6667, 0.5710).

[5]
## GeOsAu2 (PBE-GGA)

Data for GeOsAu2 after structural relaxation.

Its calculated volume is 16.57 A^3/atom. The total energy comes out at -5.075 eV/atom.

The structure belongs to space group F-43m (No. 216); the cell edges are 6.4246, 6.4246 and 6.4246 Å and the angles 90.00°, 90.00° and 90.00°. Symmetry generates all atoms from Ge at (0.0000, 0.0000, 0.0000), Os at (0.2500, 0.2500, 0.2500), Au at (0.0000, 0.0000, 0.5000) and Au at (0.2500, 0.2500, 0.7500).

[6]
## YCoSi2Pd (PBE-GGA)

Data for YCoSi2Pd after structural relaxation.

Its calculated volume is 15.97 A^3/atom. The total energy comes out at -6.751 eV/atom.

The structure belongs to space group I-4m2 (No. 119); the cell edges are 4.0176, 4.0176 and 9.8944 Å and the angles 90.00°, 90.00° and 90.00°. Symmetry generates all atoms from Y at (0.0000, 0.0000, 0.0000), Co at (0.0000, 0.5000, 0.7500), Si at (0.0000, 0.0000, 0.3795) and Pd at (0.0000, 0.5000, 0.2500).

[7]
## Li4Al2InPd (PBE-GGA)

Data for Li4Al2InPd after structural relaxation.

Its calculated volume is 15.53 A^3/atom. The total energy comes out at -3.277 eV/atom.

The structure belongs to space group P-4m2 (No. 115); the cell edges are 4.4160, 4.4160 and 6.3708 Å and the angles 90.00°, 90.00° and 90.00°. Symmetry generates all atoms from Li at (0.0000, 0.0000, 0.0000), Li at (0.0000, 0.5000, 0.7338), Li at (0.5000, 0.5000, 0.5000), Al at (0.0000, 0.5000, 0.2821), In at (0.5000, 0.5000, 0.0000) and Pd at (0.0000, 0.0000, 0.5000).

[8]
## Er3HfSc2Te2Os (PBE-GGA)

Data for Er3HfSc2Te2Os after structural relaxation.

Its calculated volume is 23.87 A^3/atom. The total energy comes out at -6.707 eV/atom.

The structure belongs to space group Amm2 (No. 38); the cell edges are 3.9395, 13.7298 and 7.9448 Å and the angles 90.00°, 90.00° and 90.00°. Symmetry generates all atoms from Er at (0.0000, 0.0000, 0.0000), Er at (0.0000, 0.1939, 0.4104), Hf at (0.5000, 0.0000, 0.3733), Sc at (0.5000, 0.1175, 0.7238), Te at (0.5000, 0.1663, 0.1051) and Os at (0.0000, 0.0000, 0.5956).

[9]
## Tm3Zr3Te2Os (PBE-GGA)

Data for Tm3Zr3Te2Os after structural relaxation.

Its calculated volume is 23.38 A^3/atom. The offset from the most stable computed form is 170 meV per atom.

The structure belongs to space group P-62m (No. 189); the cell edges are 8.0427, 8.0427 and 3.7560 Å and the angles 90.00°, 90.00° and 120.00°. Symmetry generates all atoms from Tm at (0.0000, 0.7541, 0.0000), Zr at (0.0000, 0.4017, 0.5000), Te at (0.3333, 0.6667, 0.0000) and Os at (0.0000, 0.0000, 0.5000).

[10]
## Sm2IBrNCl (PBE-GGA)

Data for Sm2IBrNCl after structural relaxation.

Its calculated volume is 30.02 A^3/atom. The offset from the most stable computed form is 2 meV per atom.

The structure belongs to space group C2/m (No. 12); the cell edges are 18.0285, 4.0289 and 11.7481 Å and the angles 90.00°, 122.41° and 90.00°. Symmetry generates all atoms from Sm at (0.0767, 0.0000, 0.4553), Sm at (0.1327, 0.5000, 0.7755), I at (0.1561, 0.0000, 0.0142), Br at (0.2162, 0.5000, 0.6095), N at (0.0739, 0.0000, 0.6486) and Cl at (0.0384, 0.5000, 0.2666).

[11]
## BaScBeAu (PBE-GGA)

Data for BaScBeAu after structural relaxation.

Its calculated volume is 24.85 A^3/atom. The offset from the most stable computed form is 0 meV per atom.

The structure belongs to space group F-43m (No. 216); the cell edges are 7.3538, 7.3538 and 7.3538 Å and the angles 90.00°, 90.00° and 90.00°. Symmetry generates all atoms from Ba at (0.0000, 0.0000, 0.0000), Sc at (0.0000, 0.0000, 0.5000), Be at (0.2500, 0.2500, 0.2500) and Au at (0.2500, 0.2500, 0.7500).

[12]
## SmMoIr (PBE-GGA)

Data for SmMoIr after structural relaxation.

Its calculated volume is 23.01 A^3/atom. The offset from the most stable computed form is 861 meV per atom.

The structure belongs to space group F-43m (No. 216); the cell edges are 6.5117, 6.5117 and 6.5117 Å and the angles 90.00°, 90.00° and 90.00°. Symmetry generates all atoms from Sm at (0.0000, 0.0000, 0.0000), Mo at (0.2500, 0.2500, 0.2500) and Ir at (0.2500, 0.2500, 0.7500).

[13]
## PrInPt (PBE-GGA)

Data for PrInPt after structural relaxation.

Its calculated volume is 26.56 A^3/atom. The total energy comes out at -4.789 eV/atom.

The structure belongs to space group F-43m (No. 216); the cell edges are 6.8311, 6.8311 and 6.8311 Å and the angles 90.00°, 90.00° and 90.00°. Symmetry generates all atoms from Pr at (0.0000, 0.0000, 0.0000), In at (0.2500, 0.2500, 0.2500) and Pt at (0.0000, 0.0000, 0.5000).